(1)
## CeDyCoRu (PBE)

Data for a relaxed CeDyCoRu crystal.

abc: 4.8088 4.8088 4.8088
angles: 60.00 60.00 60.00
Sites, in units of the cell vectors:
Ce1 0.0000 0.0000 0.0000
Dy1 0.5000 0.5000 0.5000
Co1 0.7500 0.7500 0.7500
Ru1 0.2500 0.2500 0.2500

## Properties
Crystal system ... cubic
Spin magnetization ... 0.120 μB/atom
E_tot ... -6.9634 eV/atom
Space-group type ... F-43m
Calculated volume ... 78.63 Å³/cell

(2)
## Tb2CeDyCo2 (PBE)

Data for a relaxed Tb2CeDyCo2 crystal.

abc: 7.9582 7.9582 7.9582
angles: 129.35 73.25 130.85
Sites, in units of the cell vectors:
Tb1 0.2015 0.1924 0.3938
Tb2 0.2985 0.6924 0.9909
Tb3 0.7015 0.3076 0.0091
Tb4 0.7985 0.8076 0.6062
Ce1 0.2500 0.2500 0.0000
Ce2 0.7500 0.7500 0.0000
Dy1 0.2500 0.7500 0.5000
Dy2 0.7500 0.2500 0.5000
Co1 0.0972 0.7889 0.8861
Co2 0.4028 0.2889 0.6917
Co3 0.5972 0.7111 0.3083
Co4 0.9028 0.2111 0.1139

## Properties
Crystal system ... orthorhombic
Spin magnetization ... 0.000 μB/atom
E_tot ... -5.7740 eV/atom
Space-group type ... Ibam
Calculated volume ... 287.82 Å³/cell

(3)
## CeDy2ThCo2 (PBE)

Data for a relaxed CeDy2ThCo2 crystal.

abc: 7.7981 7.7981 7.7981
angles: 126.57 78.48 127.16
Sites, in units of the cell vectors:
Ce1 0.2500 0.2500 0.0000
Ce2 0.7500 0.7500 0.0000
Dy1 0.2038 0.1959 0.3997
Dy2 0.2962 0.6959 0.9920
Dy3 0.7038 0.3041 0.0080
Dy4 0.7962 0.8041 0.6003
Th1 0.2500 0.7500 0.5000
Th2 0.7500 0.2500 0.5000
Co1 0.0790 0.7701 0.8491
Co2 0.4210 0.2701 0.6911
Co3 0.5790 0.7299 0.3089
Co4 0.9210 0.2299 0.1509

## Properties
Crystal system ... orthorhombic
Spin magnetization ... 0.000 μB/atom
E_tot ... -6.2586 eV/atom
Space-group type ... Ibam
Calculated volume ... 293.91 Å³/cell